Density functional theory data (PBE) for Li2Al3Cu after structural relaxation.

Structure (POSCAR):
```
Li2Al3Cu
1.0
1.969 -5.886 0.000
1.969 5.886 0.000
0.000 0.000 7.892
Li Al Cu
4 6 2
Cartesian
0.000 0.000 0.000 Li
1.969 -1.973 3.946 Li
1.969 1.973 3.946 Li
0.000 0.000 3.946 Li
1.969 3.906 6.104 Al
1.969 0.000 6.094 Al
1.969 0.000 1.797 Al
1.969 -3.906 1.787 Al
1.969 3.906 1.787 Al
1.969 -3.906 6.104 Al
1.969 1.970 0.000 Cu
1.969 -1.970 0.000 Cu
```

Calculated values
**SG**: Cmmm, No. 65
**ΔH_f (0 K)**: -0.154 eV/atom